YBe2Tc, optimized geometry, DFT PBE-GGA; energy relative to the lowest polymorph listed for this composition = 0.3828 eV per atom; energy of formation from the pure elements = 0.295 eV/atom; volume = 14.71 Å³/atom; crystal system = orthorhombic
1.0
2.736 -3.332 0.000
2.736 3.332 0.000
0.000 0.000 3.227
Y Be Tc
1 2 1
Cartesian
0.000 0.000 0.000 Y
1.368 1.666 1.613 Be
1.368 -1.666 1.613 Be
2.736 0.000 0.000 Tc